# 1
The following is a PBE-GGA calculation of an optimized crystal structure of CeFe5P3, from the Alexandria database.

Final energy ... -7.852 eV per atom
Total magnetic moment ... 9.50 Bohr magnetons per cell
Volume ... 237.83 Å³/cell
ΔH_f (0 K) ... -0.69 eV/atom

Unit cell a=6.1934 b=6.1934 c=10.8831 alpha=90.00 beta=90.00 gamma=145.27
Element x y z (fractional)
Ce 0.1762 0.8238 0.7500
Ce 0.8238 0.1762 0.2500
Fe 0.0000 0.0000 0.0000
Fe 0.0000 0.0000 0.5000
Fe 0.1914 0.8086 0.0649
Fe 0.1914 0.8086 0.4351
Fe 0.4572 0.5428 0.6401
Fe 0.4572 0.5428 0.8599
Fe 0.5428 0.4572 0.1401
Fe 0.5428 0.4572 0.3599
Fe 0.8086 0.1914 0.5649
Fe 0.8086 0.1914 0.9351
P 0.1064 0.8936 0.2500
P 0.3712 0.6288 0.0426
P 0.3712 0.6288 0.4574
P 0.6288 0.3712 0.5426
P 0.6288 0.3712 0.9574
P 0.8936 0.1064 0.7500

# 2
The following is a PBE-GGA calculation of an optimized crystal structure of Sn2Bi, from the Alexandria database.

Final energy ... -3.745 eV per atom
Total magnetic moment ... 0.00 Bohr magnetons per cell
Volume ... 179.28 Å³/cell
ΔH_f (0 K) ... 0.22 eV/atom

Unit cell a=6.3292 b=6.3292 c=6.3292 alpha=60.00 beta=60.00 gamma=60.00
Element x y z (fractional)
Sn 0.0000 0.0000 0.0000
Sn 0.0000 0.0000 0.5000
Sn 0.0000 0.5000 0.0000
Sn 0.5000 0.0000 0.0000
Bi 0.3750 0.3750 0.3750
Bi 0.6250 0.6250 0.6250

# 3
The following is a PBE-GGA calculation of an optimized crystal structure of NaScGePt, from the Alexandria database.

Final energy ... -5.178 eV per atom
Total magnetic moment ... 0.00 Bohr magnetons per cell
Volume ... 68.46 Å³/cell
ΔH_f (0 K) ... -0.60 eV/atom

Unit cell a=4.5917 b=4.5917 c=4.5917 alpha=60.00 beta=60.00 gamma=60.00
Element x y z (fractional)
Na 0.0000 0.0000 0.0000
Sc 0.7500 0.7500 0.7500
Ge 0.2500 0.2500 0.2500
Pt 0.5000 0.5000 0.5000